Below is Li2CaLaIr after structural relaxation, with properties calculated at the PBE-GGA level.

Unit cell a=5.1962 b=5.1962 c=5.2686 alpha=90.00 beta=90.00 gamma=90.00
Closest atoms and distances in Å follow each position.
Atoms (fractional coordinates):
Li 0.0000 0.5000 0.0000  2 Ir 2.60
Li 0.5000 0.0000 0.0000  2 Ir 2.60
Ca 0.0000 0.0000 0.5000  4 La 3.67, 8 Li 3.70
La 0.5000 0.5000 0.5000  2 Ir 2.63
Ir 0.5000 0.5000 0.0000  4 Li 2.60, 2 La 2.63

Summary:
* calculated volume: 142.3 Å³ per cell
* ΔE_f: -0.01 eV/atom